# 1
A geometry-optimized NaBC2F structure. Source: Alexandria via LeMat-Bulk, functional PBE.

Values from the calculation:
Density of states at the Fermi level in states/eV per cell: 4.32
E_form (uncorrected) in eV/f.u.: 14.8

Cell lengths 4.548, 4.548, 3.947 Å; angles 90.00, 90.00, 90.00 degrees
Fractional positions:
Na (0.000, 0.000, 0.000)
B (0.500, 0.500, 0.500)
C (0.000, 0.500, 0.000)
C (0.500, 0.000, 0.000)
F (0.000, 0.000, 0.500)


# 2
A geometry-optimized KTi3I structure. Source: Alexandria via LeMat-Bulk, functional PBE.

Values from the calculation:
Density of states at the Fermi level in states/eV per cell: 12.26
Distance to the lowest polymorph of the same formula in meV per atom: 0.0
E_form (uncorrected) in eV/f.u.: 5.8

Cell lengths 5.170, 5.170, 5.170 Å; angles 90.00, 90.00, 90.00 degrees
Fractional positions:
K (0.000, 0.000, 0.000)
Ti (0.000, 0.500, 0.500)
Ti (0.500, 0.000, 0.500)
Ti (0.500, 0.500, 0.000)
I (0.500, 0.500, 0.500)


# 3
A geometry-optimized BaCa2Ni2 structure. Source: Alexandria via LeMat-Bulk, functional PBE.

Values from the calculation:
Density of states at the Fermi level in states/eV per cell: 3.95
Distance to the lowest polymorph of the same formula in meV per atom: 134.6
Formation energy from the elements in eV per atom: 0.17

Cell lengths 5.146, 5.146, 11.202 Å; angles 90.00, 90.00, 90.00 degrees
Fractional positions:
Ba (0.000, 0.000, 0.000)
Ba (0.500, 0.500, 0.500)
Ca (0.000, 0.000, 0.334)
Ca (0.000, 0.000, 0.666)
Ca (0.500, 0.500, 0.166)
Ca (0.500, 0.500, 0.834)
Ni (0.000, 0.500, 0.250)
Ni (0.000, 0.500, 0.750)
Ni (0.500, 0.000, 0.250)
Ni (0.500, 0.000, 0.750)


What did the third record say?
A geometry-optimized BaCa2Ni2 structure. Source: Alexandria via LeMat-Bulk, functional PBE.

Values from the calculation:
Density of states at the Fermi level in states/eV per cell: 3.95
Distance to the lowest polymorph of the same formula in meV per atom: 134.6
Formation energy from the elements in eV per atom: 0.17

Cell lengths 5.146, 5.146, 11.202 Å; angles 90.00, 90.00, 90.00 degrees
Fractional positions:
Ba (0.000, 0.000, 0.000)
Ba (0.500, 0.500, 0.500)
Ca (0.000, 0.000, 0.334)
Ca (0.000, 0.000, 0.666)
Ca (0.500, 0.500, 0.166)
Ca (0.500, 0.500, 0.834)
Ni (0.000, 0.500, 0.250)
Ni (0.000, 0.500, 0.750)
Ni (0.500, 0.000, 0.250)
Ni (0.500, 0.000, 0.750)


What did the second record say?
A geometry-optimized KTi3I structure. Source: Alexandria via LeMat-Bulk, functional PBE.

Values from the calculation:
Density of states at the Fermi level in states/eV per cell: 12.26
Distance to the lowest polymorph of the same formula in meV per atom: 0.0
E_form (uncorrected) in eV/f.u.: 5.8

Cell lengths 5.170, 5.170, 5.170 Å; angles 90.00, 90.00, 90.00 degrees
Fractional positions:
K (0.000, 0.000, 0.000)
Ti (0.000, 0.500, 0.500)
Ti (0.500, 0.000, 0.500)
Ti (0.500, 0.500, 0.000)
I (0.500, 0.500, 0.500)


The highest density of states at the Fermi level belongs to which entry?
KTi3I